First-principles (PBE-GGA) data for a relaxed V2GaAsPb crystal, as listed in Alexandria via LeMat-Bulk.

## Properties
ρ = 5.02 g/cm³
density of states at the Fermi level = 8.178 states/eV/cell
ΔE_f = 1.474 eV per atom

Lattice parameters (Å, degrees): 5.2523 5.2523 5.4407 90.00 90.00 90.00
With the nearest neighbours (Å) after each atom.
Space group P4/mmm (No. 123)
Inequivalent atoms, fractional coordinates:
1 V 0.0000 0.5000 0.0000 (multiplicity 2)  2 Pb 2.63
2 Ga 0.0000 0.0000 0.5000 (multiplicity 1)  4 As 3.71, 8 V 3.78
3 As 0.5000 0.5000 0.5000 (multiplicity 1)  2 Pb 2.72
4 Pb 0.5000 0.5000 0.0000 (multiplicity 1)  4 V 2.63, 2 As 2.72